# 1
Here is an optimized crystal structure of PmSc2NbO8 from Alexandria. Energies are from PBE.

The calculation puts the total moment at 0.158 μB/atom. For the total energy, the calculation gives -8.3474 eV/atom. For the uncorrected formation energy, the calculation gives -2.7517 eV per atom.

abc: 4.901 4.902 6.785
angles: 90.00 90.00 89.55
Sites, in units of the cell vectors:
O 0.198 0.802 0.215
Pm 0.000 0.000 0.500
O 0.328 0.327 0.500
Sc 0.500 0.500 0.243
O 0.802 0.198 0.785
O 0.672 0.673 0.500
O 0.705 0.705 0.000
O 0.198 0.802 0.785
O 0.295 0.295 0.000
Nb 0.000 0.000 0.000
O 0.802 0.198 0.215
Sc 0.500 0.500 0.757

=====

# 2
Here is an optimized crystal structure of TeRhSeN2 from Alexandria. Energies are from PBE.

The calculation puts the total moment at 0.303 μB/atom. The calculation puts the energy above the most stable polymorph in this dataset at 567 meV per atom. For the total energy, the calculation gives -4.5335 eV/atom. For the uncorrected formation energy, the calculation gives 1.5922 eV per atom.

abc: 3.869 3.869 6.069
angles: 90.00 90.00 90.00
Sites, in units of the cell vectors:
Rh 0.500 0.500 0.500
N 0.500 0.000 0.000
N 0.000 0.500 0.000
Se 0.000 0.000 0.500
Te 0.000 0.000 0.000